First-principles (PBE-GGA) data for MgAsW after structural relaxation, as listed in the Alexandria database.

Lattice parameters (Å, degrees): 7.0795 6.8742 2.9344 81.81 73.97 24.22
Fractional positions:
As 0.0150 0.0150 0.9850
W 0.6579 0.6579 0.3421
Mg 0.3270 0.3270 0.6730

Output
* energy relative to the lowest polymorph listed for this composition: 237 meV per atom
* volume: 18.032 Å³/atom
* symmetry: Fmm2
* total magnetic moment: 0.000 μB per atom
* D(E_F): 2.83 states/eV/f.u.
* calculated formation energy: 0.308 eV/atom